Entry 1:
A plane-wave DFT calculation with PBE-GGA was carried out for a relaxed structure of Tb3CuPd3.

The structure belongs to space group Imm2 (No. 44); the cell edges are 3.7522, 4.2703 and 18.9496 Å and the angles 90.00°, 90.00° and 90.00°. The inequivalent atoms are Tb at (0.0000, 0.0000, 0.0000), Tb at (0.0000, 0.0000, 0.3708), Tb at (0.0000, 0.5000, 0.1831), Cu at (0.0000, 0.5000, 0.7526), Pd at (0.0000, 0.0000, 0.5279), Pd at (0.0000, 0.0000, 0.8330) and Pd at (0.0000, 0.5000, 0.6215).

The value obtained for the energy of formation is -0.737 eV/atom. The density of states at the Fermi level comes out at 5.119 states/eV/cell. As for the crystal system: orthorhombic.



Entry 2:
A plane-wave DFT calculation with PBE-GGA was carried out for a relaxed structure of CrMo3.

The structure belongs to space group I4/mmm (No. 139); the cell edges are 3.6488, 3.6488 and 9.1525 Å and the angles 90.00°, 90.00° and 90.00°. The inequivalent atoms are Cr at (0.0000, 0.0000, 0.0000), Mo at (0.0000, 0.0000, 0.5000) and Mo at (0.0000, 0.5000, 0.2500).

The value obtained for the energy of formation is 0.339 eV/atom. The density of states at the Fermi level comes out at 6.883 states/eV/cell. As for the crystal system: tetragonal.



Entry 3:
A plane-wave DFT calculation with PBE-GGA was carried out for a relaxed structure of TlIn2FePb.

The structure belongs to space group P4/mmm (No. 123); the cell edges are 5.1138, 5.1138 and 5.0892 Å and the angles 90.00°, 90.00° and 90.00°. The inequivalent atoms are Tl at (0.0000, 0.0000, 0.0000), In at (0.0000, 0.5000, 0.5000), Fe at (0.5000, 0.5000, 0.5000) and Pb at (0.5000, 0.5000, 0.0000).

The value obtained for the energy of formation is 0.176 eV/atom. The density of states at the Fermi level comes out at 2.522 states/eV/cell. As for the crystal system: tetragonal.



Entry 4:
A plane-wave DFT calculation with PBE-GGA was carried out for a relaxed structure of MgTeSe2.

The structure belongs to space group Fm-3m (No. 225); the cell edges are 7.1318, 7.1318 and 7.1318 Å and the angles 90.00°, 90.00° and 90.00°. The inequivalent atoms are Mg at (0.0000, 0.0000, 0.0000), Te at (0.0000, 0.0000, 0.5000) and Se at (0.2500, 0.2500, 0.2500).

Its formation energy from raw total energies is -35 meV/atom. The density of states at the Fermi level comes out at 10.962 states/eV/cell. As for the crystal system: cubic.



Entry 5:
A plane-wave DFT calculation with PBE-GGA was carried out for a relaxed structure of RbThUTe4.

The structure belongs to space group Imma (No. 74); the cell edges are 9.6556, 9.6916 and 13.4981 Å and the angles 90.00°, 90.00° and 90.00°. The inequivalent atoms are Rb at (0.0000, 0.2500, 0.1290), Th at (0.0000, 0.0000, 0.5000), U at (0.2500, 0.2500, 0.7500), Te at (0.0000, 0.0414, 0.7315) and Te at (0.2110, 0.2500, 0.5156).

Its formation energy from raw total energies is -895 meV/atom. The density of states at the Fermi level comes out at 32.673 states/eV/cell. As for the crystal system: orthorhombic.



Entry 6:
A plane-wave DFT calculation with PBE-GGA was carried out for a relaxed structure of Li2Tb3Pt3.

The structure belongs to space group P6_3/mcm (No. 193); the cell edges are 8.4351, 8.4351 and 5.5968 Å and the angles 90.00°, 90.00° and 120.00°. The inequivalent atoms are Li at (0.3333, 0.6667, 0.0000), Tb at (0.0000, 0.2788, 0.2500) and Pt at (0.0000, 0.3802, 0.7500).

The value obtained for the energy of formation is -0.927 eV/atom. The density of states at the Fermi level comes out at 9.286 states/eV/cell. As for the crystal system: hexagonal.